Entry 1:
! Ba4YOs, single point on PBEsol structure, DFT meta-GGA SCAN; values from VASP
&SYSTEM
  ibrav = 0, nat = 6, ntyp = 3
/
ATOMIC_SPECIES
Ba 137.33 Ba.upf
Y 88.91 Y.upf
Os 190.23 Os.upf
ATOMIC_POSITIONS crystal
Ba 0.376 0.376 0.376
Y 0.000 0.000 0.000
Os 0.750 0.750 0.750
Ba 0.871 0.376 0.376
Ba 0.376 0.376 0.871
Ba 0.376 0.871 0.376
CELL_PARAMETERS angstrom
6.647 0.000 0.000
3.324 5.757 0.000
3.324 1.919 5.428
! Fermi-level density of states   1.100 states/eV per atom
! Formation energy   1.341 eV per atom

***

Entry 2:
! Na3Mn3O8, single point on PBEsol structure, DFT meta-GGA SCAN; values from VASP
&SYSTEM
  ibrav = 0, nat = 56, ntyp = 3
/
ATOMIC_SPECIES
O 16.00 O.upf
Na 22.99 Na.upf
Mn 54.94 Mn.upf
ATOMIC_POSITIONS crystal
O 0.591 0.562 0.355
O 0.376 0.376 0.376
O 0.855 0.909 0.438
O 0.124 0.624 0.876
Na 0.767 0.733 0.267
O 0.091 0.938 0.645
O 0.409 0.062 0.145
Mn 0.125 0.399 0.851
O 0.438 0.855 0.909
O 0.624 0.876 0.124
Mn 0.375 0.601 0.351
O 0.374 0.626 0.126
O 0.126 0.374 0.626
Na 0.625 0.625 0.625
Na 0.983 0.517 0.483
O 0.605 0.312 0.159
Na 0.733 0.267 0.767
O 0.909 0.438 0.855
O 0.938 0.645 0.091
Na 0.875 0.375 0.125
O 0.562 0.355 0.591
Na 0.483 0.983 0.517
O 0.312 0.159 0.605
O 0.062 0.145 0.409
O 0.874 0.874 0.874
Mn 0.351 0.375 0.601
Mn 0.399 0.851 0.125
O 0.688 0.659 0.895
Na 0.125 0.875 0.375
O 0.895 0.688 0.659
Mn 0.899 0.649 0.875
O 0.341 0.395 0.812
O 0.159 0.605 0.312
O 0.876 0.124 0.624
O 0.645 0.091 0.938
Mn 0.101 0.149 0.625
Na 0.017 0.017 0.017
O 0.145 0.409 0.062
Na 0.517 0.483 0.983
O 0.105 0.188 0.841
O 0.841 0.105 0.188
Mn 0.649 0.875 0.899
Na 0.233 0.233 0.233
Mn 0.875 0.899 0.649
Mn 0.625 0.101 0.149
Mn 0.601 0.351 0.375
Na 0.267 0.767 0.733
O 0.395 0.812 0.341
Na 0.375 0.125 0.875
Mn 0.851 0.125 0.399
O 0.355 0.591 0.562
Mn 0.149 0.625 0.101
O 0.626 0.126 0.374
O 0.188 0.841 0.105
O 0.812 0.341 0.395
O 0.659 0.895 0.688
CELL_PARAMETERS angstrom
-7.269 -2.585 3.775
-0.675 -6.403 -5.684
4.525 -5.107 5.216
! Raw formation energy   -28.157 eV/f.u.
! Fermi-level density of states   0.525 states/eV per atom

***

Entry 3:
! LiOsN2F, single point on PBEsol structure, DFT meta-GGA SCAN; values from VASP
&SYSTEM
  ibrav = 0, nat = 5, ntyp = 4
/
ATOMIC_SPECIES
F 19.00 F.upf
N 14.01 N.upf
Os 190.23 Os.upf
Li 6.94 Li.upf
ATOMIC_POSITIONS crystal
F 0.000 0.000 0.500
N 0.000 0.500 0.000
Os 0.000 0.000 0.000
Li 0.500 0.500 0.500
N 0.500 0.000 0.000
CELL_PARAMETERS angstrom
-0.723 2.359 2.831
2.231 -2.016 2.250
3.471 2.502 -1.199
! Raw formation energy   -1.112 eV/f.u.
! Fermi-level density of states   0.294 states/eV per atom
! ΔE to the lowest computed polymorph   0.0000 eV per atom

***

Entry 4:
! Cr3FeP6O24, single point on PBEsol structure, DFT meta-GGA SCAN; values from VASP
&SYSTEM
  ibrav = 0, nat = 34, ntyp = 4
/
ATOMIC_SPECIES
P 30.97 P.upf
O 16.00 O.upf
Cr 52.00 Cr.upf
Fe 55.84 Fe.upf
ATOMIC_POSITIONS crystal
P 0.473 0.748 0.747
O 0.959 0.016 0.706
O 0.018 0.677 0.588
O 0.686 0.033 0.291
P 0.533 0.247 0.253
O 0.761 0.610 0.233
O 0.717 0.018 0.588
O 0.677 0.717 0.588
P 0.748 0.031 0.747
O 0.985 0.331 0.410
O 0.301 0.128 0.069
Cr 0.639 0.639 0.083
O 0.503 0.301 0.069
O 0.398 0.598 0.767
O 0.598 0.237 0.767
Cr 0.360 0.360 0.920
P 0.031 0.473 0.747
Cr 0.146 0.146 0.563
O 0.318 0.959 0.706
O 0.696 0.871 0.933
P 0.967 0.533 0.253
O 0.128 0.503 0.069
O 0.500 0.696 0.933
O 0.033 0.990 0.291
O 0.871 0.500 0.933
O 0.016 0.318 0.706
P 0.247 0.967 0.253
Fe 0.853 0.853 0.440
O 0.610 0.396 0.233
O 0.237 0.398 0.767
O 0.274 0.985 0.410
O 0.396 0.761 0.233
O 0.331 0.274 0.410
O 0.990 0.686 0.291
CELL_PARAMETERS angstrom
-1.579 7.414 2.970
-1.917 0.913 7.859
5.748 3.612 5.199
! Raw formation energy   -72.793 eV/f.u.
! Fermi-level density of states   0.270 states/eV per atom

***

Entry 5:
! SrPbAu2, single point on PBEsol structure, DFT meta-GGA SCAN; values from VASP
&SYSTEM
  ibrav = 0, nat = 4, ntyp = 3
/
ATOMIC_SPECIES
Sr 87.62 Sr.upf
Pb 207.20 Pb.upf
Au 196.97 Au.upf
ATOMIC_POSITIONS crystal
Sr 0.256 0.756 0.513
Pb 0.474 0.474 0.949
Au 0.030 0.030 0.060
Au 0.739 0.239 0.479
CELL_PARAMETERS angstrom
-0.609 1.948 -3.351
-3.998 -2.914 -0.967
-0.561 3.632 4.510
! Fermi-level density of states   0.419 states/eV per atom
! Formation energy   -0.486 eV per atom

***

Entry 6:
! InHg2, single point on PBEsol structure, DFT meta-GGA SCAN; values from VASP
&SYSTEM
  ibrav = 0, nat = 6, ntyp = 2
/
ATOMIC_SPECIES
In 114.82 In.upf
Hg 200.59 Hg.upf
ATOMIC_POSITIONS crystal
In 0.750 0.750 0.000
Hg 0.846 0.654 0.500
In 0.250 0.250 0.000
Hg 0.154 0.346 0.500
Hg 0.346 0.846 0.192
Hg 0.654 0.154 0.808
CELL_PARAMETERS angstrom
-4.472 2.448 2.778
-1.828 -1.867 -5.185
2.041 -4.466 3.098
! Fermi-level density of states   0.382 states/eV per atom
! Formation energy   0.026 eV per atom

***

Entry 7:
! Li3TlF, single point on PBEsol structure, DFT meta-GGA SCAN; values from VASP
&SYSTEM
  ibrav = 0, nat = 5, ntyp = 3
/
ATOMIC_SPECIES
F 19.00 F.upf
Li 6.94 Li.upf
Tl 204.38 Tl.upf
ATOMIC_POSITIONS crystal
F 0.000 0.000 0.000
Li 0.000 0.000 0.500
Tl 0.500 0.500 0.500
Li 0.500 0.000 0.000
Li 0.000 0.500 0.000
CELL_PARAMETERS angstrom
4.154 0.000 0.000
0.000 4.154 0.000
0.000 0.000 4.154
! Raw formation energy   -6.614 eV/f.u.
! Fermi-level density of states   0.314 states/eV per atom

***

Entry 8:
! Bi8AsAuCl9, single point on PBEsol structure, DFT meta-GGA SCAN; values from VASP
&SYSTEM
  ibrav = 0, nat = 76, ntyp = 4
/
ATOMIC_SPECIES
Cl 35.45 Cl.upf
As 74.92 As.upf
Bi 208.98 Bi.upf
Au 196.97 Au.upf
ATOMIC_POSITIONS crystal
Cl 0.853 0.674 0.506
Cl 0.990 0.871 0.371
Cl 0.147 0.826 0.006
As 0.787 0.785 0.996
Cl 0.853 0.174 0.994
Bi 0.590 0.568 0.810
Cl 0.019 0.871 0.636
Bi 0.699 0.030 0.348
Bi 0.301 0.970 0.652
Bi 0.325 0.543 0.488
Bi 0.951 0.317 0.358
Cl 0.010 0.629 0.871
Cl 0.223 0.759 0.248
Bi 0.325 0.043 0.012
Cl 0.981 0.629 0.136
Bi 0.301 0.470 0.848
Cl 0.147 0.326 0.494
Cl 0.168 0.013 0.165
Bi 0.551 0.846 0.638
Bi 0.967 0.313 0.640
Cl 0.170 0.010 0.851
Cl 0.504 0.379 0.631
Cl 0.496 0.121 0.131
Cl 0.493 0.377 0.396
Au 0.633 0.635 0.993
Cl 0.981 0.129 0.364
As 0.213 0.715 0.496
Cl 0.019 0.371 0.864
Bi 0.449 0.154 0.362
Bi 0.699 0.530 0.152
Au 0.633 0.135 0.507
Cl 0.504 0.879 0.869
Bi 0.379 0.678 0.926
Cl 0.507 0.623 0.604
Bi 0.049 0.683 0.642
Bi 0.951 0.817 0.142
Bi 0.621 0.822 0.426
As 0.213 0.215 0.004
Bi 0.033 0.687 0.360
As 0.787 0.285 0.504
Bi 0.590 0.068 0.690
Cl 0.777 0.241 0.752
Bi 0.785 0.477 0.950
Cl 0.256 0.252 0.758
Cl 0.223 0.259 0.252
Cl 0.744 0.248 0.258
Bi 0.049 0.183 0.858
Bi 0.410 0.932 0.310
Bi 0.410 0.432 0.190
Bi 0.449 0.654 0.138
Cl 0.496 0.621 0.369
Au 0.367 0.365 0.007
Bi 0.967 0.813 0.860
Cl 0.832 0.487 0.665
Cl 0.168 0.513 0.335
Bi 0.215 0.523 0.050
Cl 0.832 0.987 0.835
Bi 0.675 0.457 0.512
Cl 0.830 0.490 0.351
Bi 0.621 0.322 0.074
Cl 0.777 0.741 0.748
Au 0.367 0.865 0.493
Cl 0.493 0.877 0.104
Cl 0.830 0.990 0.149
Bi 0.215 0.023 0.450
Bi 0.785 0.977 0.550
Bi 0.675 0.957 0.988
Bi 0.033 0.187 0.140
Bi 0.551 0.346 0.862
Cl 0.744 0.748 0.242
Bi 0.379 0.178 0.574
Cl 0.990 0.371 0.129
Cl 0.256 0.752 0.742
Cl 0.170 0.510 0.649
Cl 0.507 0.123 0.896
Cl 0.010 0.129 0.629
CELL_PARAMETERS angstrom
-0.064 -9.709 -3.173
9.214 -2.339 10.357
-11.132 -2.946 9.238
! Raw formation energy   -11.678 eV/f.u.

***

Entry 9:
! BeCdSi2, single point on PBEsol structure, DFT meta-GGA SCAN; values from VASP
&SYSTEM
  ibrav = 0, nat = 4, ntyp = 3
/
ATOMIC_SPECIES
Be 9.01 Be.upf
Si 28.09 Si.upf
Cd 112.41 Cd.upf
ATOMIC_POSITIONS crystal
Be 0.500 0.500 0.000
Si 0.000 0.000 0.000
Si 0.750 0.250 0.500
Cd 0.250 0.750 0.500
CELL_PARAMETERS angstrom
4.053 0.000 0.000
0.000 4.053 0.000
-2.027 -2.027 3.718
! Raw formation energy   2.872 eV/f.u.
! Fermi-level density of states   0.379 states/eV per atom

***

Entry 10:
! BeCd2Si, single point on PBEsol structure, DFT meta-GGA SCAN; values from VASP
&SYSTEM
  ibrav = 0, nat = 4, ntyp = 3
/
ATOMIC_SPECIES
Si 28.09 Si.upf
Cd 112.41 Cd.upf
Be 9.01 Be.upf
ATOMIC_POSITIONS crystal
Si 0.500 0.500 0.500
Cd 0.750 0.750 0.750
Be 0.000 0.000 0.000
Cd 0.250 0.250 0.250
CELL_PARAMETERS angstrom
4.616 0.000 0.000
2.308 3.998 0.000
2.308 1.333 3.769
! Raw formation energy   2.700 eV/f.u.
! Fermi-level density of states   0.395 states/eV per atom
! ΔE to the lowest computed polymorph   0.3716 eV per atom

***

Entry 11:
! AlCdW2, single point on PBEsol structure, DFT meta-GGA SCAN; values from VASP
&SYSTEM
  ibrav = 0, nat = 4, ntyp = 3
/
ATOMIC_SPECIES
W 183.84 W.upf
Cd 112.41 Cd.upf
Al 26.98 Al.upf
ATOMIC_POSITIONS crystal
W 0.250 0.250 0.250
W 0.750 0.750 0.750
Cd 0.500 0.500 0.500
Al 0.000 0.000 0.000
CELL_PARAMETERS angstrom
4.490 0.000 0.000
2.245 3.888 0.000
2.245 1.296 3.666
! Fermi-level density of states   1.126 states/eV per atom
! ΔE to the lowest computed polymorph   0.6026 eV per atom
! Formation energy   0.853 eV per atom

***

Entry 12:
! ReHgAs2, single point on PBEsol structure, DFT meta-GGA SCAN; values from VASP
&SYSTEM
  ibrav = 0, nat = 4, ntyp = 3
/
ATOMIC_SPECIES
Hg 200.59 Hg.upf
Re 186.21 Re.upf
As 74.92 As.upf
ATOMIC_POSITIONS crystal
Hg 0.423 0.847 0.509
Re 0.778 0.557 0.094
As 0.070 0.140 0.125
As 0.228 0.457 0.773
CELL_PARAMETERS angstrom
-2.004 0.935 2.163
2.672 -3.308 1.694
3.064 5.557 0.437
! Fermi-level density of states   0.568 states/eV per atom
! Formation energy   0.218 eV per atom